(1)
Y3TlAs | GGA-PBE | optimized geometry

Results
The value obtained for the density of states at the Fermi level is 2.32 states/eV/cell.

abc: 5.3733 5.3733 5.3733
angles: 90.00 90.00 90.00
Closest atoms and distances in Å follow each position.
Atoms (fractional coordinates):
Y 0.0000 0.5000 0.0000  2 As 2.69
Y 0.5000 0.0000 0.0000  2 As 2.69
Y 0.0000 0.0000 0.5000  2 As 2.69
As 0.0000 0.0000 0.0000  6 Y 2.69
Tl 0.5000 0.5000 0.5000  12 Y 3.80

=====

(2)
YTl2As2 | GGA-PBE | optimized geometry

Results
The value obtained for the density of states at the Fermi level is 2.64 states/eV/cell.

abc: 3.9162 3.9162 9.0564
angles: 77.51 77.51 90.00
Closest atoms and distances in Å follow each position.
Atoms (fractional coordinates):
Y 0.0000 0.0000 0.0000  8 Tl 3.31
Tl 0.6053 0.6053 0.7894  4 As 3.17, 4 Y 3.31
Tl 0.3947 0.3947 0.2106  4 As 3.17, 4 Y 3.31
As 0.2500 0.7500 0.5000  4 As 2.77
As 0.7500 0.2500 0.5000  4 As 2.77

=====

(3)
YTlAs | GGA-PBE | optimized geometry

Results
The value obtained for the density of states at the Fermi level is 2.42 states/eV/cell.

abc: 4.9906 4.9906 4.9906
angles: 60.00 60.00 60.00
Closest atoms and distances in Å follow each position.
Atoms (fractional coordinates):
As 0.7500 0.7500 0.7500  4 Tl 3.06, 4 Y 3.06
Y 0.5000 0.5000 0.5000  4 As 3.06
Tl 0.0000 0.0000 0.0000  4 As 3.06

=====

Which calculated volume belongs to each record? In order, 31.027 26.448 29.297 Å³/atom.
Which ΔE_f belongs to each record? In order, -556 81 -388 meV per atom.
Which final energy belongs to each record? In order, -5.84 -4.02 -4.88 eV/atom.